DFT (GGA-PBE) results for an optimized crystal structure of AcCd2Ag.

a = 5.2737 Å, b = 4.6204 Å, c = 4.6204 Å
α = 90.00°, β = 90.00°, γ = 90.00°
With the nearest neighbours (Å) after each atom.
Fractional positions:
Ac  0.5000  0.5000  0.5000  4 Ag 3.27, 8 Cd 3.51
Ag  0.5000  0.0000  0.0000  4 Ac 3.27, 8 Cd 3.51
Cd  0.0000  0.0000  0.5000  4 Cd 3.27, 4 Ag 3.51, 4 Ac 3.51
Cd  0.0000  0.5000  0.0000  4 Cd 3.27, 4 Ag 3.51, 4 Ac 3.51

Output
For the total energy, the calculation gives -2.3319 eV/atom. The total magnetization is 0.00 μB per formula unit. Its density of states at the Fermi level is 0.80 states/eV per atom. Its space-group type is P4/mmm, No. 123.


DFT (GGA-PBE) results for an optimized crystal structure of AcCd12Ag6.

a = 7.9343 Å, b = 7.9343 Å, c = 7.9343 Å
α = 104.76°, β = 104.76°, γ = 104.76°
With the nearest neighbours (Å) after each atom.
Fractional positions:
Ac  0.0000  0.0000  0.0000  6 Cd 3.50
Cd  0.8872  0.1128  0.5000  4 Ag 2.78-2.92, 3 Cd 2.84-3.04
Cd  0.8601  0.6067  0.6067  4 Ag 2.84-3.14, 4 Cd 3.04-3.18
Cd  0.6067  0.6067  0.8601  4 Ag 2.84-3.14, 4 Cd 3.04-3.18
Cd  0.3933  0.1399  0.3933  4 Ag 2.84-3.14, 4 Cd 3.04-3.18
Cd  0.3933  0.3933  0.1399  4 Ag 2.84-3.14, 4 Cd 3.04-3.18
Cd  0.1399  0.3933  0.3933  4 Ag 2.84-3.14, 4 Cd 3.04-3.18
Cd  0.1128  0.5000  0.8872  4 Ag 2.78-2.92, 3 Cd 2.84-3.04
Cd  0.5000  0.8872  0.1128  4 Ag 2.78-2.92, 3 Cd 2.84-3.04
Cd  0.1128  0.8872  0.5000  4 Ag 2.78-2.92, 3 Cd 2.84-3.04
Cd  0.8872  0.5000  0.1128  4 Ag 2.78-2.92, 3 Cd 2.84-3.04
Cd  0.5000  0.1128  0.8872  4 Ag 2.78-2.92, 3 Cd 2.84-3.04
Cd  0.6067  0.8601  0.6067  4 Ag 2.84-3.14, 4 Cd 3.04-3.18
Ag  0.7069  0.2838  0.2838  7 Cd 2.78-2.92
Ag  0.2838  0.2838  0.7069  7 Cd 2.78-2.92
Ag  0.2838  0.7069  0.2838  7 Cd 2.78-2.92
Ag  0.7162  0.7162  0.2931  7 Cd 2.78-2.92
Ag  0.2931  0.7162  0.7162  7 Cd 2.78-2.92
Ag  0.7162  0.2931  0.7162  7 Cd 2.78-2.92

Output
For the total energy, the calculation gives -1.7402 eV/atom. The total magnetization is 0.00 μB per formula unit. Its density of states at the Fermi level is 0.25 states/eV per atom. Its space-group type is R-3m, No. 166.


DFT (GGA-PBE) results for an optimized crystal structure of Ac3Cd2Ag9.

a = 4.7779 Å, b = 9.0272 Å, c = 9.0272 Å
α = 67.08°, β = 74.65°, γ = 74.65°
With the nearest neighbours (Å) after each atom.
Fractional positions:
Ac  0.0000  0.0000  0.0000  12 Ag 3.40-3.63
Ac  0.7036  0.2964  0.2964  12 Ag 3.35-3.68, 2 Cd 3.48
Ac  0.2964  0.7036  0.7036  12 Ag 3.35-3.68, 2 Cd 3.48
Cd  0.5000  0.3075  0.6925  8 Ag 2.88-3.07
Cd  0.5000  0.6925  0.3075  8 Ag 2.88-3.07
Ag  0.0000  0.5000  0.5000  4 Ag 2.86, 4 Cd 3.07
Ag  0.6645  0.9757  0.6954  4 Ag 2.80-3.00, 1 Cd 2.88
Ag  0.3355  0.0243  0.3046  4 Ag 2.80-3.00, 1 Cd 2.88
Ag  0.6645  0.6954  0.9757  4 Ag 2.80-3.00, 1 Cd 2.88
Ag  0.3355  0.3046  0.0243  4 Ag 2.80-3.00, 1 Cd 2.88
Ag  0.8681  0.8480  0.4157  4 Ag 2.82-3.00, 2 Cd 3.05
Ag  0.1319  0.1520  0.5843  4 Ag 2.82-3.00, 2 Cd 3.05
Ag  0.8681  0.4157  0.8480  4 Ag 2.82-3.00, 2 Cd 3.05
Ag  0.1319  0.5843  0.1520  4 Ag 2.82-3.00, 2 Cd 3.05

Output
For the total energy, the calculation gives -3.0859 eV/atom. The total magnetization is 0.00 μB per formula unit. Its density of states at the Fermi level is 0.53 states/eV per atom. Its space-group type is Immm, No. 71.


DFT (GGA-PBE) results for an optimized crystal structure of Ac2Cd3Ag5.

a = 6.2236 Å, b = 9.6042 Å, c = 9.6042 Å
α = 72.93°, β = 71.09°, γ = 71.09°
With the nearest neighbours (Å) after each atom.
Fractional positions:
Ac  0.1340  0.5927  0.1393  7 Ag 3.35-3.62, 4 Cd 3.48-3.70
Ac  0.6340  0.1393  0.5927  7 Ag 3.35-3.62, 4 Cd 3.48-3.70
Ac  0.8660  0.4073  0.8607  7 Ag 3.35-3.62, 4 Cd 3.48-3.70
Ac  0.3660  0.8607  0.4073  7 Ag 3.35-3.62, 4 Cd 3.48-3.70
Cd  0.3511  0.5566  0.7412  5 Ag 2.77-2.82
Cd  0.8511  0.7412  0.5566  5 Ag 2.77-2.82
Cd  0.6489  0.4434  0.2588  5 Ag 2.77-2.82
Cd  0.1489  0.2588  0.4434  5 Ag 2.77-2.82
Cd  0.2500  0.0000  0.0000  6 Ag 2.88-2.89, 2 Cd 3.11
Cd  0.7500  0.0000  0.0000  6 Ag 2.88-2.89, 2 Cd 3.11
Ag  0.3970  0.2746  0.9313  3 Cd 2.77-2.89, 2 Ag 2.88
Ag  0.8970  0.9313  0.2746  3 Cd 2.77-2.89, 2 Ag 2.88
Ag  0.6030  0.7254  0.0687  3 Cd 2.77-2.89, 2 Ag 2.88
Ag  0.1030  0.0687  0.7254  3 Cd 2.77-2.89, 2 Ag 2.88
Ag  0.4536  0.7964  0.7964  3 Cd 2.81-2.88, 4 Ag 2.88-3.11
Ag  0.5464  0.2036  0.2036  3 Cd 2.81-2.88, 4 Ag 2.88-3.11
Ag  0.7500  0.5000  0.5000  4 Cd 2.82, 2 Ag 3.11
Ag  0.2500  0.5000  0.5000  4 Cd 2.82, 2 Ag 3.11
Ag  0.0464  0.2036  0.2036  3 Cd 2.81-2.88, 4 Ag 2.88-3.11
Ag  0.9536  0.7964  0.7964  3 Cd 2.81-2.88, 4 Ag 2.88-3.11

Output
The total magnetization is 0.00 μB per formula unit. Its density of states at the Fermi level is 0.57 states/eV per atom. The calculation puts the energy above the lowest structure with this stoichiometry at 0 meV/atom. Its space-group type is Ibam, No. 72.


DFT (GGA-PBE) results for an optimized crystal structure of AcCd2Ag4.

a = 6.6573 Å, b = 6.6573 Å, c = 6.6573 Å
α = 100.82°, β = 100.82°, γ = 128.64°
With the nearest neighbours (Å) after each atom.
Fractional positions:
Ac  0.0000  0.0000  0.0000  8 Ag 3.46
Cd  0.2500  0.7500  0.5000  4 Ag 2.75, 2 Cd 2.88
Cd  0.7500  0.2500  0.5000  4 Ag 2.75, 2 Cd 2.88
Ag  0.7243  0.5000  0.2243  2 Ag 2.69, 2 Cd 2.75
Ag  0.5000  0.7243  0.2243  2 Ag 2.69, 2 Cd 2.75
Ag  0.5000  0.2757  0.7757  2 Ag 2.69, 2 Cd 2.75
Ag  0.2757  0.5000  0.7757  2 Ag 2.69, 2 Cd 2.75

Output
The total magnetization is 0.00 μB per formula unit. Its density of states at the Fermi level is 0.36 states/eV per atom. The calculation puts the energy above the lowest structure with this stoichiometry at 409 meV/atom. Its space-group type is I4/mmm, No. 139.


DFT (GGA-PBE) results for an optimized crystal structure of AcCdAg5.

a = 5.8084 Å, b = 9.2066 Å, c = 11.5571 Å
α = 90.00°, β = 90.00°, γ = 90.00°
With the nearest neighbours (Å) after each atom.
Fractional positions:
Ac  0.2500  0.2415  0.9389  11 Ag 3.30-3.62, 2 Cd 3.57-3.67
Ac  0.7500  0.2585  0.4389  11 Ag 3.30-3.62, 2 Cd 3.57-3.67
Ac  0.2500  0.7415  0.5611  11 Ag 3.30-3.62, 2 Cd 3.57-3.67
Ac  0.7500  0.7585  0.0611  11 Ag 3.30-3.62, 2 Cd 3.57-3.67
Cd  0.2500  0.8565  0.8564  8 Ag 2.83-3.14
Cd  0.7500  0.6435  0.3564  8 Ag 2.83-3.14
Cd  0.2500  0.3565  0.6436  8 Ag 2.83-3.14
Cd  0.7500  0.1435  0.1436  8 Ag 2.83-3.14
Ag  0.2500  0.5971  0.0178  5 Ag 2.82-2.91, 1 Cd 3.03
Ag  0.7500  0.9029  0.5178  5 Ag 2.82-2.91, 1 Cd 3.03
Ag  0.2500  0.0971  0.4822  5 Ag 2.82-2.91, 1 Cd 3.03
Ag  0.7500  0.4029  0.9822  5 Ag 2.82-2.91, 1 Cd 3.03
Ag  0.7500  0.3165  0.7420  7 Ag 2.82-2.98, 2 Cd 3.14
Ag  0.2500  0.1835  0.2420  7 Ag 2.82-2.98, 2 Cd 3.14
Ag  0.7500  0.8165  0.7580  7 Ag 2.82-2.98, 2 Cd 3.14
Ag  0.2500  0.6835  0.2580  7 Ag 2.82-2.98, 2 Cd 3.14
Ag  0.2500  0.9332  0.0937  1 Cd 2.83, 4 Ag 2.87-2.98
Ag  0.7500  0.5668  0.5937  1 Cd 2.83, 4 Ag 2.87-2.98
Ag  0.2500  0.4332  0.4063  1 Cd 2.83, 4 Ag 2.87-2.98
Ag  0.7500  0.0668  0.9063  1 Cd 2.83, 4 Ag 2.87-2.98
Ag  0.9925  0.4359  0.1920  7 Ag 2.82-2.99, 2 Cd 3.04-3.09
Ag  0.0075  0.0641  0.6920  7 Ag 2.82-2.99, 2 Cd 3.04-3.09
Ag  0.5075  0.9359  0.3080  7 Ag 2.82-2.99, 2 Cd 3.04-3.09
Ag  0.4925  0.5641  0.8080  7 Ag 2.82-2.99, 2 Cd 3.04-3.09
Ag  0.0075  0.5641  0.8080  7 Ag 2.82-2.99, 2 Cd 3.04-3.09
Ag  0.9925  0.9359  0.3080  7 Ag 2.82-2.99, 2 Cd 3.04-3.09
Ag  0.4925  0.0641  0.6920  7 Ag 2.82-2.99, 2 Cd 3.04-3.09
Ag  0.5075  0.4359  0.1920  7 Ag 2.82-2.99, 2 Cd 3.04-3.09

Output
For the total energy, the calculation gives -2.9509 eV/atom. The total magnetization is 0.00 μB per formula unit. Its density of states at the Fermi level is 0.45 states/eV per atom. Its space-group type is Pnma, No. 62.


DFT (GGA-PBE) results for an optimized crystal structure of Ac6Cd5Ag.

a = 5.7248 Å, b = 8.1474 Å, c = 9.0609 Å
α = 90.00°, β = 71.58°, γ = 90.00°
With the nearest neighbours (Å) after each atom.
Fractional positions:
Ac  0.8359  0.7511  0.3281  1 Ag 3.47, 7 Cd 3.48-3.53
Ac  0.8359  0.2489  0.3281  1 Ag 3.47, 7 Cd 3.48-3.53
Ac  0.5000  0.2459  0.0000  2 Ag 3.49, 6 Cd 3.53-3.56
Ac  0.5000  0.7541  0.0000  2 Ag 3.49, 6 Cd 3.53-3.56
Ac  0.1641  0.7511  0.6719  1 Ag 3.47, 7 Cd 3.48-3.53
Ac  0.1641  0.2489  0.6719  1 Ag 3.47, 7 Cd 3.48-3.53
Ag  0.0000  0.0000  0.0000  8 Ac 3.47-3.49
Cd  0.6684  0.5000  0.6632  8 Ac 3.52-3.56
Cd  0.3292  0.0000  0.3416  8 Ac 3.49-3.56
Cd  0.0000  0.5000  0.0000  8 Ac 3.48-3.53
Cd  0.6708  0.0000  0.6584  8 Ac 3.49-3.56
Cd  0.3316  0.5000  0.3368  8 Ac 3.52-3.56

Output
For the total energy, the calculation gives -2.9609 eV/atom. The total magnetization is 0.00 μB per formula unit. Its density of states at the Fermi level is 1.16 states/eV per atom. Its space-group type is Cmmm, No. 65.


DFT (GGA-PBE) results for an optimized crystal structure of AcCd6Ag2.

a = 9.1469 Å, b = 9.1469 Å, c = 9.1469 Å
α = 60.00°, β = 60.00°, γ = 60.00°
With the nearest neighbours (Å) after each atom.
Fractional positions:
Ac  0.5000  0.5000  0.5000  6 Cd 3.32
Ac  0.7500  0.7500  0.7500  6 Cd 3.32
Cd  0.2433  0.2433  0.7567  2 Ag 2.75
Cd  0.7567  0.7567  0.2433  2 Ag 2.75
Cd  0.2433  0.7567  0.2433  2 Ag 2.75
Cd  0.2433  0.7567  0.7567  2 Ag 2.75
Cd  0.4933  0.4933  0.0067  2 Ag 2.75
Cd  0.4933  0.0067  0.0067  2 Ag 2.75
Cd  0.7567  0.2433  0.7567  2 Ag 2.75
Cd  0.0067  0.0067  0.4933  2 Ag 2.75
Cd  0.4933  0.0067  0.4933  2 Ag 2.75
Cd  0.0067  0.4933  0.4933  2 Ag 2.75
Cd  0.7567  0.2433  0.2433  2 Ag 2.75
Cd  0.0067  0.4933  0.0067  2 Ag 2.75
Ag  0.1250  0.1250  0.1250  6 Cd 2.75
Ag  0.1250  0.6250  0.1250  6 Cd 2.75
Ag  0.1250  0.1250  0.6250  6 Cd 2.75
Ag  0.6250  0.1250  0.1250  6 Cd 2.75

Output
The total magnetization is 0.00 μB per formula unit. Its density of states at the Fermi level is 0.51 states/eV per atom. The calculation puts the energy above the lowest structure with this stoichiometry at 344 meV/atom. Its space-group type is Fd-3m, No. 227.